Entry 1:
LaZrAu2 after structural relaxation. Source: Alexandria via LeMat-Bulk, functional PBE.

**DFT formation energy**: -0.421 eV/atom
**Total moment**: 0.0 μB/cell

Lattice parameters (Å, degrees): 3.9438 3.9438 23.0694 90.00 90.00 120.00
Space group R-3m (No. 166, hexagonal axes)
Unique sites:
1 La 0.0000 0.0000 0.0000
2 Zr 0.0000 0.0000 0.5000
3 Au 0.0000 0.0000 0.2398



Entry 2:
LaZrAu after structural relaxation. Source: Alexandria via LeMat-Bulk, functional PBE.

**DFT formation energy**: -0.278 eV/atom
**Total moment**: 0.0 μB/cell

Lattice parameters (Å, degrees): 4.6909 4.6909 4.3541 90.00 90.00 120.00
Space group P-6m2 (No. 187)
Unique sites:
1 La 0.0000 0.0000 0.0000
2 Zr 0.3333 0.6667 0.5000
3 Au 0.6667 0.3333 0.5000



no.,raw total energy (eV/cell)
1,-65.14
2,-17.59